# 1
First-principles (PBE-GGA) data for a relaxed structure of MnAgSe, as listed in Alexandria.

## Properties
Total magnetization: 4.00 μB/f.u.
Raw total energy: -0.3762 Ry per atom
Space group: P3m1 (156)

a b c (Å): 3.4766 3.4766 5.6812
angles (deg): 90.00 90.00 120.00
With the nearest neighbours (Å) after each atom.
Positions (direct):
Mn1 0.0000 0.0000 0.0000  3 Se 2.50, 3 Ag 2.79
Ag1 0.3333 0.6667 0.6600  3 Mn 2.79, 3 Se 3.02
Se1 0.6667 0.3333 0.2636  3 Mn 2.50

=====

# 2
First-principles (PBE-GGA) data for a relaxed structure of Mn2AgSe2, as listed in Alexandria.

## Properties
Total magnetization: 4.00 μB/f.u.
Raw total energy: -0.4151 Ry per atom
Space group: I4/mmm (139)

a b c (Å): 7.4803 7.4803 7.4803
angles (deg): 152.20 152.20 39.72
With the nearest neighbours (Å) after each atom.
Positions (direct):
Mn1 0.2500 0.7500 0.5000  4 Se 2.43, 4 Mn 2.54
Mn2 0.7500 0.2500 0.5000  4 Se 2.43, 4 Mn 2.54
Ag1 0.0000 0.0000 0.0000  8 Se 3.16
Se1 0.3659 0.3659 0.0000  4 Mn 2.43
Se2 0.6341 0.6341 0.0000  4 Mn 2.43

=====

# 3
First-principles (PBE-GGA) data for a relaxed structure of Mn2AgSe4, as listed in Alexandria.

## Properties
Total magnetization: 6.99 μB/f.u.
Raw total energy: -0.3965 Ry per atom
Space group: Fddd (70)

a b c (Å): 7.6309 7.6201 7.6051
angles (deg): 60.16 60.02 59.82
With the nearest neighbours (Å) after each atom.
Positions (direct):
Mn1 0.0000 0.0000 0.0000  6 Se 2.55-2.56
Mn2 0.0000 0.0000 0.5000  6 Se 2.55-2.56
Mn3 0.0000 0.5000 0.0000  6 Se 2.55-2.56
Mn4 0.5000 0.0000 0.0000  6 Se 2.55-2.56
Ag1 0.3750 0.3750 0.3750  4 Se 2.59
Ag2 0.6250 0.6250 0.6250  4 Se 2.59
Se1 0.2086 0.7626 0.7637  3 Mn 2.55-2.56, 1 Ag 2.59
Se2 0.2349 0.2363 0.2374  3 Mn 2.55-2.56, 1 Ag 2.59
Se3 0.2363 0.2349 0.7914  3 Mn 2.55-2.56, 1 Ag 2.59
Se4 0.2374 0.7914 0.2349  3 Mn 2.55-2.56, 1 Ag 2.59
Se5 0.7626 0.2086 0.7651  3 Mn 2.55-2.56, 1 Ag 2.59
Se6 0.7637 0.7651 0.2086  3 Mn 2.55-2.56, 1 Ag 2.59
Se7 0.7651 0.7637 0.7626  3 Mn 2.55-2.56, 1 Ag 2.59
Se8 0.7914 0.2374 0.2363  3 Mn 2.55-2.56, 1 Ag 2.59